The following is a DFT calculation (GGA-PBE) of a geometry-optimized Sc2NbZnRh structure.

a b c (Å): 5.1243 4.6402 5.1243
angles (deg): 90.00 90.00 90.00
Closest atoms and distances in Å follow each position.
Sites, in units of the cell vectors:
Sc 0.0000 0.0000 0.5000  2 Nb 2.56
Sc 0.5000 0.0000 0.0000  2 Nb 2.56
Nb 0.0000 0.0000 0.0000  2 Rh 2.32, 4 Sc 2.56
Rh 0.0000 0.5000 0.0000  2 Nb 2.32
Zn 0.5000 0.5000 0.5000  8 Sc 3.46, 4 Rh 3.62

The energy above the lowest structure with this stoichiometry is 66 meV/atom. Its size of the total moment is 0.0 μB per formula unit. As for the crystal system: tetragonal. The uncorrected energy comes out at -28.0 eV per cell. The energy of formation comes out at 64.1 kJ/mol of atoms.